[1]
A relaxed structure of PmTcO4, computed with PBE-GGA.

Calculated values
magnetic moment	0.237	μB/f.u.
density	6.26	g/cm³
electronic total energy	-194.37	eV/cell
offset from the most stable computed form	0.000	eV per atom

abc: 5.5094 7.9210 7.6935
angles: 103.95 90.00 90.00
Site moments in Bohr magnetons follow the coordinates.
Atoms (fractional coordinates):
O 0.6953 0.8191 0.4546  0.05
O 0.9975 0.0015 0.7281  0.00
O 0.9968 0.6344 0.1727  0.00
O 0.1953 0.1809 0.0454  0.05
O 0.4899 0.3596 0.8560  0.00
O 0.4968 0.3656 0.3273  0.00
O 0.0032 0.3656 0.8273  0.00
O 0.3047 0.1809 0.5454  0.05
O 0.0101 0.3596 0.3560  0.00
O 0.4975 0.9985 0.7719  0.00
O 0.5032 0.6344 0.6727  0.00
O 0.0025 0.9985 0.2719  0.00
O 0.8047 0.8191 0.9546  0.05
O 0.5101 0.6404 0.1440  0.00
O 0.9899 0.6404 0.6440  0.00
O 0.5025 0.0015 0.2281  0.00
Tc 0.7499 0.8360 0.2082  0.16
Tc 0.2499 0.1640 0.2918  0.16
Tc 0.2501 0.1640 0.7918  0.16
Tc 0.7501 0.8360 0.7082  0.16
Pm 0.7683 0.3838 0.0971  0.00
Pm 0.7317 0.3838 0.5971  0.00
Pm 0.2683 0.6162 0.4029  0.00
Pm 0.2317 0.6162 0.9029  0.00

=====

[2]
A relaxed structure of SrSnGe, computed with PBE-GGA.

Calculated values
magnetic moment	0.000	μB/f.u.
density	5.34	g/cm³
electronic total energy	-23.06	eV/cell
E_form	-410	meV/atom

abc: 4.8268 6.4715 6.8673
angles: 118.11 110.58 90.00
Atoms (fractional coordinates):
Ge 0.3897 0.8897 0.7793
Ge 0.6103 0.1103 0.2207
Sn 0.0000 0.7525 0.0000
Sn 0.0000 0.2475 0.0000
Sr 0.6967 0.6967 0.3934
Sr 0.3033 0.3033 0.6066

=====

[3]
A relaxed structure of Cs12Rb5Cl3, computed with PBE-GGA.

Calculated values
magnetic moment	0.000	μB/f.u.
density	1.58	g/cm³
electronic total energy	-114.92	eV/cell

abc: 22.6549 22.6549 22.6549
angles: 109.47 109.47 109.47
Atoms (fractional coordinates):
Cl 0.2500 0.1250 0.3750
Cl 0.6250 0.3750 0.7500
Cl 0.3750 0.7500 0.6250
Cl 0.3750 0.6250 0.2500
Cl 0.8750 0.1250 0.2500
Cl 0.2500 0.6250 0.8750
Cl 0.1250 0.8750 0.7500
Cl 0.6250 0.2500 0.3750
Cl 0.8750 0.7500 0.1250
Cl 0.1250 0.2500 0.8750
Cl 0.7500 0.3750 0.1250
Cl 0.7500 0.8750 0.6250
Rb 0.0000 0.0000 0.0000
Rb 0.3750 0.2500 0.1250
Rb 0.5000 0.0000 0.5000
Rb 0.2500 0.3750 0.6250
Rb 0.7500 0.6250 0.3750
Rb 0.1250 0.7500 0.3750
Rb 0.5000 0.5000 0.0000
Rb 0.7500 0.1250 0.8750
Rb 0.0000 0.5000 0.5000
Rb 0.6250 0.8750 0.2500
Rb 0.0000 0.5000 0.0000
Rb 0.2500 0.8750 0.1250
Rb 0.8750 0.6250 0.7500
Rb 0.3750 0.1250 0.7500
Rb 0.5000 0.5000 0.5000
Rb 0.5000 0.0000 0.0000
Rb 0.8750 0.2500 0.6250
Rb 0.6250 0.7500 0.8750
Rb 0.1250 0.3750 0.2500
Rb 0.0000 0.0000 0.5000
Cs 0.2417 0.8764 0.8923
Cs 0.8653 0.8494 0.7417
Cs 0.8494 0.8653 0.2417
Cs 0.1236 0.7583 0.6077
Cs 0.1236 0.3653 0.0159
Cs 0.7417 0.3494 0.8653
Cs 0.1506 0.0159 0.8923
Cs 0.7417 0.3923 0.3764
Cs 0.8494 0.9841 0.1077
Cs 0.3923 0.6506 0.0159
Cs 0.3764 0.8923 0.7417
Cs 0.3494 0.6077 0.4841
Cs 0.1077 0.4841 0.8494
Cs 0.5159 0.8923 0.6506
Cs 0.1077 0.6236 0.7583
Cs 0.1347 0.1506 0.2583
Cs 0.4841 0.1077 0.3494
Cs 0.8923 0.5159 0.1506
Cs 0.6236 0.5159 0.8653
Cs 0.6077 0.3494 0.9841
Cs 0.0159 0.8653 0.1236
Cs 0.1347 0.9841 0.3764
Cs 0.6506 0.2583 0.6347
Cs 0.3764 0.4841 0.1347
Cs 0.6077 0.2583 0.1236
Cs 0.8764 0.2417 0.3923
Cs 0.9841 0.1347 0.8764
Cs 0.8653 0.0159 0.6236
Cs 0.2583 0.6506 0.1347
Cs 0.7583 0.1236 0.1077
Cs 0.6506 0.3923 0.5159
Cs 0.2417 0.3653 0.8494
Cs 0.3494 0.7417 0.3653
Cs 0.6347 0.7583 0.6506
Cs 0.4841 0.3764 0.6347
Cs 0.0159 0.1506 0.3923
Cs 0.6236 0.1077 0.2583
Cs 0.3653 0.1236 0.5159
Cs 0.1506 0.1347 0.7583
Cs 0.5159 0.6236 0.3653
Cs 0.9841 0.8494 0.6077
Cs 0.3923 0.7417 0.8764
Cs 0.8923 0.3764 0.2417
Cs 0.6347 0.8764 0.4841
Cs 0.7583 0.6347 0.1506
Cs 0.3653 0.2417 0.3494
Cs 0.8764 0.6347 0.9841
Cs 0.2583 0.6077 0.6236

=====

[4]
A relaxed structure of Dy2FeSi3Ni12, computed with PBE-GGA.

Calculated values
magnetic moment	4.075	μB/f.u.
density	7.52	g/cm³
electronic total energy	-104.63	eV/cell

abc: 8.8948 8.8948 8.8948
angles: 39.66 39.66 39.66
Site moments in Bohr magnetons follow the coordinates.
Atoms (fractional coordinates):
Si 0.0000 0.0000 0.5000  0.00
Si 0.5000 0.0000 0.0000  0.00
Si 0.0000 0.5000 0.0000  0.00
Fe 0.0000 0.0000 0.0000  2.60
Ni 0.3572 0.9270 0.9270  0.28
Ni 0.6428 0.0730 0.0730  0.28
Ni 0.0730 0.0730 0.6428  0.28
Ni 0.1869 0.5895 0.5895  0.05
Ni 0.0730 0.6428 0.0730  0.28
Ni 0.9270 0.3572 0.9270  0.28
Ni 0.9270 0.9270 0.3572  0.28
Ni 0.5895 0.5895 0.1869  0.05
Ni 0.5895 0.1869 0.5895  0.05
Ni 0.8131 0.4105 0.4105  0.05
Ni 0.4105 0.4105 0.8131  0.05
Ni 0.4105 0.8131 0.4105  0.05
Dy 0.6495 0.6495 0.6495  -0.12
Dy 0.3505 0.3505 0.3505  -0.12

=====

[5]
A relaxed structure of Ir9OsRh2, computed with PBE-GGA.

Calculated values
magnetic moment	0.000	μB/f.u.
density	20.38	g/cm³
electronic total energy	-105.93	eV/cell
E_form	-21	meV/atom

abc: 3.8639 3.8639 11.6052
angles: 90.00 90.00 90.00
Atoms (fractional coordinates):
Ir 0.0000 0.5000 0.5000
Ir 0.0000 0.5000 0.1648
Ir 0.5000 0.0000 0.1648
Ir 0.5000 0.5000 0.0000
Ir 0.5000 0.0000 0.5000
Ir 0.5000 0.5000 0.6678
Ir 0.0000 0.5000 0.8352
Ir 0.5000 0.0000 0.8352
Ir 0.5000 0.5000 0.3322
Rh 0.0000 0.0000 0.6637
Rh 0.0000 0.0000 0.3363
Os 0.0000 0.0000 0.0000

=====

[6]
A relaxed structure of La12Ag6Au, computed with PBE-GGA.

Calculated values
magnetic moment	0.000	μB/f.u.
density	7.51	g/cm³
electronic total energy	-81.88	eV/cell
E_form	-125	meV/atom

abc: 8.2191 8.2191 8.2191
angles: 89.86 89.86 89.86
Atoms (fractional coordinates):
La 0.5523 0.1859 0.4548
La 0.8141 0.5452 0.4477
La 0.3667 0.0149 0.1363
La 0.1363 0.3667 0.0149
La 0.8637 0.6333 0.9851
La 0.4548 0.5523 0.1859
La 0.5452 0.4477 0.8141
La 0.6333 0.9851 0.8637
La 0.4477 0.8141 0.5452
La 0.1859 0.4548 0.5523
La 0.9851 0.8637 0.6333
La 0.0149 0.1363 0.3667
Ag 0.7341 0.8870 0.2571
Ag 0.1130 0.7429 0.2659
Ag 0.2571 0.7341 0.8870
Ag 0.7429 0.2659 0.1130
Ag 0.8870 0.2571 0.7341
Ag 0.2659 0.1130 0.7429
Au 0.0000 0.0000 0.0000

=====

[7]
A relaxed structure of NbCr2GeOs, computed with PBE-GGA.

Calculated values
magnetic moment	6.028	μB/f.u.
density	7.22	g/cm³
electronic total energy	-36.50	eV/cell
E_form	1734	meV/atom

abc: 4.7120 4.7653 4.7120
angles: 90.00 90.00 90.00
Site moments in Bohr magnetons follow the coordinates.
Atoms (fractional coordinates):
Os 0.0000 0.5000 0.0000  0.14
Nb 0.0000 0.0000 0.0000  -0.41
Ge 0.5000 0.5000 0.5000  -0.08
Cr 0.0000 0.0000 0.5000  2.76
Cr 0.5000 0.0000 0.0000  3.17

=====

[8]
A relaxed structure of Mn2Re2Os, computed with PBE-GGA.

Calculated values
magnetic moment	0.000	μB/f.u.
density	16.71	g/cm³
electronic total energy	-106.97	eV/cell
E_form	196	meV/atom
offset from the most stable computed form	0.000	eV per atom

abc: 6.9133 6.9133 2.7967
angles: 90.00 90.00 90.00
Atoms (fractional coordinates):
Mn 0.8731 0.6269 0.0000
Mn 0.6269 0.1269 0.0000
Mn 0.3731 0.8731 0.0000
Mn 0.1269 0.3731 0.0000
Os 0.5000 0.5000 0.0000
Os 0.0000 0.0000 0.0000
Re 0.1717 0.6717 0.5000
Re 0.6717 0.8283 0.5000
Re 0.3283 0.1717 0.5000
Re 0.8283 0.3283 0.5000

=====

[9]
A relaxed structure of Sc2GeRu2, computed with PBE-GGA.

Calculated values
magnetic moment	0.000	μB/f.u.
density	6.89	g/cm³
electronic total energy	-77.10	eV/cell
E_form	-543	meV/atom

abc: 6.4570 6.4570 4.2181
angles: 90.00 90.00 90.00
Atoms (fractional coordinates):
Sc 0.8256 0.3256 0.5000
Sc 0.6744 0.8256 0.5000
Sc 0.1744 0.6744 0.5000
Sc 0.3256 0.1744 0.5000
Ge 0.0000 0.0000 0.0000
Ge 0.5000 0.5000 0.0000
Ru 0.8590 0.6410 0.0000
Ru 0.1410 0.3590 0.0000
Ru 0.3590 0.8590 0.0000
Ru 0.6410 0.1410 0.0000

=====

[10]
A relaxed structure of Sc2TlC, computed with PBE-GGA.

Calculated values
magnetic moment	0.000	μB/f.u.
density	6.71	g/cm³
electronic total energy	-52.57	eV/cell
E_form	-508	meV/atom
offset from the most stable computed form	0.000	eV per atom

abc: 3.3738 3.3738 15.3878
angles: 90.00 90.00 120.00
Atoms (fractional coordinates):
Sc 0.6667 0.3333 0.9206
Sc 0.3333 0.6667 0.0794
Sc 0.3333 0.6667 0.4206
Sc 0.6667 0.3333 0.5794
Tl 0.6667 0.3333 0.2500
Tl 0.3333 0.6667 0.7500
C 0.0000 0.0000 0.0000
C 0.0000 0.0000 0.5000

=====

[11]
A relaxed structure of YAsBr2, computed with PBE-GGA.

Calculated values
magnetic moment	0.004	μB/f.u.
density	5.43	g/cm³
electronic total energy	-16.39	eV/cell
offset from the most stable computed form	0.638	eV per atom

abc: 5.1913 5.1913 5.1913
angles: 60.00 60.00 60.00
Atoms (fractional coordinates):
Br 0.0000 0.0000 0.0000
Br 0.2500 0.2500 0.2500
As 0.5000 0.5000 0.5000
Y 0.7500 0.7500 0.7500

=====

[12]
A relaxed structure of FeNi2Pd5, computed with PBE-GGA.

Calculated values
magnetic moment	6.198	μB/f.u.
density	10.16	g/cm³
electronic total energy	-90.83	eV/cell
E_form	72	meV/atom
offset from the most stable computed form	0.101	eV per atom

abc: 6.3959 6.3959 7.2256
angles: 116.27 116.27 90.00
Site moments in Bohr magnetons follow the coordinates.
Atoms (fractional coordinates):
Pd 0.3143 0.8143 0.3137  0.29
Pd 0.6857 0.1857 0.6863  0.29
Pd 0.5000 0.5000 0.0000  0.26
Pd 0.4993 0.3143 0.3137  0.29
Pd 0.8143 0.9993 0.3137  0.29
Pd 0.0007 0.5007 0.6863  0.29
Pd 0.9993 0.4993 0.3137  0.29
Pd 0.5007 0.6857 0.6863  0.29
Pd 0.0000 0.0000 0.0000  0.26
Pd 0.1857 0.0007 0.6863  0.29
Fe 0.2500 0.2500 0.5000  3.26
Fe 0.7500 0.7500 0.5000  3.26
Ni 0.8671 0.6329 0.0000  0.79
Ni 0.3671 0.8671 0.0000  0.79
Ni 0.6329 0.1329 0.0000  0.79
Ni 0.1329 0.3671 0.0000  0.79

=====

[13]
A relaxed structure of La3Y4Er, computed with PBE-GGA.

Calculated values
magnetic moment	0.000	μB/f.u.
density	5.67	g/cm³
electronic total energy	-44.13	eV/cell
E_form	134	meV/atom
offset from the most stable computed form	0.116	eV per atom

abc: 3.5163 9.0431 9.0431
angles: 82.00 78.79 78.79
Atoms (fractional coordinates):
Y 0.3664 0.3790 0.8882
Y 0.3664 0.8882 0.3790
Y 0.6336 0.1118 0.6210
Y 0.6336 0.6210 0.1118
Er 0.5000 0.0000 0.0000
La 0.7566 0.2434 0.2434
La 0.0000 0.5000 0.5000
La 0.2434 0.7566 0.7566

=====

[14]
A relaxed structure of La4PrY, computed with PBE-GGA.

Calculated values
magnetic moment	0.000	μB/f.u.
density	6.04	g/cm³
electronic total energy	-30.85	eV/cell
E_form	17	meV/atom
offset from the most stable computed form	0.005	eV per atom

abc: 8.2247 8.2246 5.2529
angles: 90.01 90.01 37.41
Atoms (fractional coordinates):
Y 0.0000 0.0000 0.0000
Pr 0.5000 0.5000 0.5000
La 0.8339 0.8339 0.5000
La 0.3327 0.3327 0.0000
La 0.6673 0.6673 0.0000
La 0.1661 0.1661 0.5000

=====

[15]
A relaxed structure of Cr2CdCu, computed with PBE-GGA.

Calculated values
magnetic moment	0.078	μB/f.u.
density	7.59	g/cm³
electronic total energy	-22.83	eV/cell
E_form	357	meV/atom

abc: 4.8261 4.8261 4.8261
angles: 131.84 131.68 70.61
Site moments in Bohr magnetons follow the coordinates.
Atoms (fractional coordinates):
Cr 0.9997 0.9997 0.0000  -3.20
Cr 0.7503 0.2503 0.5000  3.15
Cd 0.2499 0.7499 0.5000  -0.01
Cu 0.5000 0.5000 0.0000  0.02

=====

[16]
A relaxed structure of KSc2AlTe, computed with PBE-GGA.

Calculated values
magnetic moment	0.624	μB/f.u.
density	2.76	g/cm³
electronic total energy	-18.93	eV/cell

abc: 5.4639 5.7110 5.4639
angles: 90.00 90.00 90.00
Site moments in Bohr magnetons follow the coordinates.
Atoms (fractional coordinates):
K 0.5000 0.5000 0.5000  0.00
Al 0.0000 0.5000 0.0000  0.00
Te 0.0000 0.0000 0.0000  0.00
Sc 0.0000 0.0000 0.5000  0.26
Sc 0.5000 0.0000 0.0000  0.11

=====

[17]
A relaxed structure of CsTl8Hg6, computed with PBE-GGA.

Calculated values
magnetic moment	0.000	μB/f.u.
density	10.09	g/cm³
electronic total energy	-21.87	eV/cell
E_form	-19	meV/atom

abc: 8.2162 8.2162 8.2162
angles: 72.24 72.24 72.24
Atoms (fractional coordinates):
Hg 0.6470 0.4247 0.8380
Hg 0.3530 0.5753 0.1620
Hg 0.4247 0.8380 0.6470
Hg 0.1620 0.3530 0.5753
Hg 0.8380 0.6470 0.4247
Hg 0.5753 0.1620 0.3530
Tl 0.8503 0.1898 0.5397
Tl 0.2221 0.2221 0.2221
Tl 0.4603 0.1497 0.8102
Tl 0.1497 0.8102 0.4603
Tl 0.1898 0.5397 0.8503
Tl 0.8102 0.4603 0.1497
Tl 0.5397 0.8503 0.1898
Tl 0.7779 0.7779 0.7779
Cs 0.0000 0.0000 0.0000

=====

[18]
A relaxed structure of DyTm3As4, computed with PBE-GGA.

Calculated values
magnetic moment	0.000	μB/f.u.
density	8.41	g/cm³
electronic total energy	-48.74	eV/cell
E_form	-1516	meV/atom
offset from the most stable computed form	0.000	eV per atom

abc: 5.7626 5.7626 5.7626
angles: 90.00 90.00 90.00
Atoms (fractional coordinates):
Tm 0.0000 0.5000 0.5000
Tm 0.5000 0.0000 0.5000
Tm 0.5000 0.5000 0.0000
As 0.5000 0.5000 0.5000
As 0.0000 0.0000 0.5000
As 0.0000 0.5000 0.0000
As 0.5000 0.0000 0.0000
Dy 0.0000 0.0000 0.0000

=====

[19]
A relaxed structure of NiAgAu, computed with PBE-GGA.

Calculated values
magnetic moment	0.001	μB/f.u.
density	12.73	g/cm³
electronic total energy	-11.32	eV/cell
E_form	197	meV/atom
offset from the most stable computed form	0.143	eV per atom

abc: 4.4342 4.4342 2.7854
angles: 90.00 90.00 120.00
Atoms (fractional coordinates):
Ag 0.0000 0.0000 0.9699
Ni 0.3333 0.6667 0.6335
Au 0.6667 0.3333 0.3965